A relaxed structure of Tb5Dy2Bi4, computed with GGA-PBE.

Lattice parameters (Å, degrees): 25.121 3.500 8.172 90.00 91.47 90.00
Space group C2/m (No. 12)
Unique sites:
Tb (0.000, 0.000, 0.000) [2 per cell]
Tb (0.139, 0.500, 0.053) [4 per cell]
Tb (0.174, 0.500, 0.489) [4 per cell]
Dy (0.232, 0.000, 0.823) [4 per cell]
Bi (0.050, 0.500, 0.312) [4 per cell]
Bi (0.099, 0.000, 0.737) [4 per cell]

Properties
calculated volume: 32.644 Å³/atom
energy: -50.2 eV/f.u.
energy of formation: -0.213 eV/atom
crystal system: monoclinic
total magnetization: 0.0 μB per formula unit